Here is crystalline CsK2LiCl4 at its relaxed geometry from Alexandria. Energies are from PBE-GGA.

The structure in POSCAR format:
```
CsK2LiCl4
1.0
-1.318 -2.983 -2.990
6.333 -3.101 3.576
-9.182 -6.547 10.581
Cs K Li Cl
2 4 2 8
Direct
0.103 0.206 0.750
0.897 0.794 0.250
0.365 0.729 0.549
0.635 0.271 0.049
0.635 0.271 0.451
0.365 0.729 0.951
0.829 0.658 0.750
0.171 0.342 0.250
0.263 0.525 0.127
0.737 0.475 0.627
0.737 0.475 0.873
0.263 0.525 0.373
0.000 0.000 0.500
0.000 0.000 0.000
0.412 0.825 0.750
0.588 0.175 0.250
```

## Properties
Calculated density (g/cm³): 2.30
Formation energy without anion corrections (meV/atom): -1920



Here is crystalline Ho4SiTe at its relaxed geometry from Alexandria. Energies are from PBE-GGA.

The structure in POSCAR format:
```
Ho4SiTe
1.0
-7.683 0.739 -2.121
4.836 -3.394 -5.401
0.102 -4.783 6.417
Ho Si Te
8 2 2
Direct
0.271 0.965 0.694
0.730 0.444 0.715
0.715 0.521 0.194
0.194 0.980 0.215
0.327 0.521 0.806
0.765 0.980 0.785
0.730 0.015 0.285
0.271 0.577 0.306
0.759 0.759 0.000
0.509 0.009 0.500
0.239 0.239 0.000
0.989 0.489 0.500
```

## Properties
Calculated density (g/cm³): 6.93
Formation energy without anion corrections (meV/atom): -419



Here is crystalline BaMg2HgTe at its relaxed geometry from Alexandria. Energies are from PBE-GGA.

The structure in POSCAR format:
```
BaMg2HgTe
1.0
-3.673 -0.675 -3.693
3.454 -2.631 -2.955
-1.836 -5.616 2.854
Mg Te Hg Ba
2 1 1 1
Direct
0.000 0.500 0.000
0.500 0.000 0.000
0.500 0.500 0.500
0.000 0.000 0.000
0.000 0.000 0.500
```

## Properties
ΔE to the lowest computed polymorph (eV per atom): 0.000
Calculated density (g/cm³): 4.72
Formation energy without anion corrections (meV/atom): -376



Here is crystalline HoTm2Sc8 at its relaxed geometry from Alexandria. Energies are from PBE-GGA.

The structure in POSCAR format:
```
HoTm2Sc8
1.0
5.148 1.851 0.000
2.857 8.192 0.000
1.429 4.096 7.995
Ho Tm Sc
1 2 8
Direct
0.500 0.000 0.000
0.000 0.310 0.380
0.000 0.690 0.620
0.775 0.097 0.257
0.775 0.354 0.743
0.243 0.498 0.000
0.500 0.797 0.405
0.500 0.203 0.595
0.757 0.502 0.000
0.225 0.646 0.257
0.225 0.903 0.743
```

## Properties
Formation enthalpy at 0 K (eV/atom): 0.13
Calculated density (g/cm³): 4.86



Here is crystalline InSnN2F at its relaxed geometry from Alexandria. Energies are from PBE-GGA.

The structure in POSCAR format:
```
InSnN2F
1.0
-1.027 2.930 2.813
-4.030 -1.099 -0.327
0.501 -2.742 3.039
N F Sn In
2 1 1 1
Direct
0.000 0.500 0.000
0.500 0.000 0.000
0.000 0.000 0.500
0.000 0.000 0.000
0.500 0.500 0.500
```

## Properties
ΔE to the lowest computed polymorph (eV per atom): 0.000
Calculated density (g/cm³): 6.44
Formation energy without anion corrections (meV/atom): 210



Here is crystalline AlTc at its relaxed geometry from Alexandria. Energies are from PBE-GGA.

The structure in POSCAR format:
```
AlTc
1.0
-1.088 -7.200 5.840
-0.165 -2.842 -3.535
5.447 -0.623 0.247
Al Tc
8 8
Direct
0.582 0.250 0.008
0.082 0.250 0.492
0.418 0.750 0.992
0.918 0.750 0.508
0.337 0.250 0.735
0.837 0.250 0.765
0.663 0.750 0.265
0.163 0.750 0.235
0.597 0.250 0.509
0.097 0.250 0.991
0.403 0.750 0.491
0.903 0.750 0.009
0.331 0.250 0.231
0.831 0.250 0.269
0.669 0.750 0.769
0.169 0.750 0.731
```

## Properties
Formation enthalpy at 0 K (eV/atom): -0.27
ΔE to the lowest computed polymorph (eV per atom): 0.141
Calculated density (g/cm³): 7.14



Here is crystalline Cr2MoPt2 at its relaxed geometry from Alexandria. Energies are from PBE-GGA.

The structure in POSCAR format:
```
Cr2MoPt2
1.0
-2.728 -3.906 -4.082
0.463 -4.672 4.162
-3.325 0.891 1.370
Cr Mo Pt
4 2 4
Direct
0.370 0.870 0.000
0.870 0.630 0.000
0.630 0.130 0.000
0.130 0.370 0.000
0.000 0.000 0.000
0.500 0.500 0.000
0.165 0.665 0.500
0.665 0.835 0.500
0.835 0.335 0.500
0.335 0.165 0.500
```

## Properties
Formation enthalpy at 0 K (eV/atom): 0.11
ΔE to the lowest computed polymorph (eV per atom): 0.044
Calculated density (g/cm³): 13.44



Here is crystalline Nd4Y2TmSc at its relaxed geometry from Alexandria. Energies are from PBE-GGA.

The structure in POSCAR format:
```
Nd4Y2TmSc
1.0
5.117 0.000 0.000
0.000 4.998 1.052
0.000 2.963 10.728
Nd Y Tm Sc
4 2 1 1
Direct
0.000 0.754 0.746
0.000 0.246 0.254
0.500 0.746 0.254
0.500 0.254 0.746
0.000 0.000 0.000
0.500 0.000 0.500
0.500 0.500 0.000
0.000 0.500 0.500
```

## Properties
Formation enthalpy at 0 K (eV/atom): 0.03
Calculated density (g/cm³): 6.22



Here is crystalline Co2CuCl at its relaxed geometry from Alexandria. Energies are from PBE-GGA.

The structure in POSCAR format:
```
Co2CuCl
1.0
-1.926 2.193 0.155
-3.114 -2.767 0.445
0.501 0.133 4.334
Co Cu Cl
2 1 1
Direct
0.000 0.000 0.000
0.500 0.500 0.000
0.500 0.000 0.500
0.000 0.500 0.500
```

## Properties
ΔE to the lowest computed polymorph (eV per atom): 0.449
Calculated density (g/cm³): 6.74
Formation energy without anion corrections (meV/atom): 657



Here is crystalline FeRe2Te at its relaxed geometry from Alexandria. Energies are from PBE-GGA.

The structure in POSCAR format:
```
FeRe2Te
1.0
-3.846 2.792 -0.363
-3.889 1.425 2.360
1.828 3.893 1.983
Fe Re Te
1 2 1
Direct
0.262 0.262 0.215
0.001 0.001 0.007
0.738 0.738 0.792
0.499 0.499 0.486
```

## Properties
Calculated density (g/cm³): 14.31
Formation energy without anion corrections (meV/atom): 619



Here is crystalline Tm12Ir2Pd5 at its relaxed geometry from Alexandria. Energies are from PBE-GGA.

The structure in POSCAR format:
```
Tm12Ir2Pd5
1.0
-1.795 -3.740 -6.084
-4.832 -2.053 7.144
-3.964 7.066 -3.174
Tm Ir Pd
12 2 5
Direct
0.987 0.975 0.187
0.093 0.659 0.901
0.566 0.659 0.901
0.093 0.701 0.435
0.608 0.701 0.435
0.502 0.004 0.739
0.498 0.996 0.261
0.907 0.299 0.565
0.392 0.299 0.565
0.907 0.341 0.099
0.434 0.341 0.099
0.013 0.025 0.813
0.709 0.000 0.000
0.291 0.000 0.000
0.297 0.594 0.634
0.310 0.619 0.165
0.000 0.000 0.500
0.690 0.381 0.835
0.703 0.406 0.366
```

## Properties
Formation enthalpy at 0 K (eV/atom): -0.64
Calculated density (g/cm³): 9.79



Here is crystalline CaDy12Ho6 at its relaxed geometry from Alexandria. Energies are from PBE-GGA.

The structure in POSCAR format:
```
CaDy12Ho6
1.0
-5.472 -7.519 0.612
1.727 1.544 -9.027
8.097 -2.018 4.150
Ca Dy Ho
1 12 6
Direct
0.000 0.000 0.000
0.889 0.111 0.500
0.363 0.143 0.363
0.363 0.363 0.143
0.857 0.637 0.637
0.637 0.637 0.857
0.637 0.857 0.637
0.500 0.889 0.111
0.111 0.500 0.889
0.111 0.889 0.500
0.500 0.111 0.889
0.889 0.500 0.111
0.143 0.363 0.363
0.686 0.269 0.686
0.686 0.686 0.269
0.269 0.686 0.686
0.314 0.314 0.731
0.314 0.731 0.314
0.731 0.314 0.314
```

## Properties
Formation enthalpy at 0 K (eV/atom): 0.43
Calculated density (g/cm³): 7.52



Here is crystalline CaZrTa2Hg at its relaxed geometry from Alexandria. Energies are from PBE-GGA.

The structure in POSCAR format:
```
CaZrTa2Hg
1.0
4.812 0.000 0.000
0.000 5.024 0.000
0.000 0.000 4.812
Ca Hg Zr Ta
1 1 1 2
Direct
0.000 0.000 0.000
0.500 0.500 0.500
0.000 0.500 0.000
0.000 0.000 0.500
0.500 0.000 0.000
```

## Properties
Formation enthalpy at 0 K (eV/atom): 2.18
Calculated density (g/cm³): 9.90



Here is crystalline BeHg2Te at its relaxed geometry from Alexandria. Energies are from PBE-GGA.

The structure in POSCAR format:
```
BeHg2Te
1.0
6.819 0.000 0.000
0.000 3.951 0.000
0.000 0.000 3.951
Be Te Hg
1 1 2
Direct
0.500 0.000 0.500
0.500 0.500 0.000
0.000 0.000 0.000
0.000 0.500 0.500
```

## Properties
ΔE to the lowest computed polymorph (eV per atom): 0.382
Calculated density (g/cm³): 8.39
Formation energy without anion corrections (meV/atom): 349



Here is crystalline TmSc2Pd9 at its relaxed geometry from Alexandria. Energies are from PBE-GGA.

The structure in POSCAR format:
```
TmSc2Pd9
1.0
4.042 0.000 0.000
0.000 4.042 0.000
0.000 0.000 12.098
Tm Sc Pd
1 2 9
Direct
0.000 0.000 0.000
0.000 0.000 0.335
0.000 0.000 0.665
0.500 0.500 0.000
0.500 0.500 0.336
0.500 0.500 0.664
0.500 0.000 0.172
0.500 0.000 0.500
0.500 0.000 0.828
0.000 0.500 0.172
0.000 0.500 0.500
0.000 0.500 0.828
```

## Properties
Formation enthalpy at 0 K (eV/atom): -0.86
Calculated density (g/cm³): 10.22



Here is crystalline SrCa2Cd2In2 at its relaxed geometry from Alexandria. Energies are from PBE-GGA.

The structure in POSCAR format:
```
SrCa2Cd2In2
1.0
-4.896 1.165 0.366
-3.500 -3.305 -1.513
-3.045 -4.580 8.631
Sr Ca Cd In
1 2 2 2
Direct
0.000 0.000 0.000
0.129 0.129 0.612
0.871 0.871 0.388
0.593 0.593 0.220
0.407 0.407 0.780
0.748 0.748 0.757
0.252 0.252 0.243
```

## Properties
Formation enthalpy at 0 K (eV/atom): -0.36
Calculated density (g/cm³): 4.78



Here is crystalline Ac2ZnCu4Si3 at its relaxed geometry from Alexandria. Energies are from PBE-GGA.

The structure in POSCAR format:
```
Ac2ZnCu4Si3
1.0
4.288 0.000 0.000
0.000 4.288 0.000
0.000 0.000 10.096
Ac Zn Cu Si
2 1 4 3
Direct
0.500 0.000 0.243
0.000 0.500 0.757
0.500 0.500 0.500
0.500 0.500 0.000
0.000 0.000 0.000
0.500 0.000 0.629
0.000 0.500 0.371
0.000 0.000 0.500
0.500 0.000 0.874
0.000 0.500 0.126
```

## Properties
Calculated density (g/cm³): 7.67
Formation energy without anion corrections (meV/atom): -421



Here is crystalline Ca2Ga4Ir at its relaxed geometry from Alexandria. Energies are from PBE-GGA.

The structure in POSCAR format:
```
Ca2Ga4Ir
1.0
-1.029 -4.488 -1.073
3.462 -0.024 -3.220
6.310 -4.738 3.348
Ca Ir Ga
2 1 4
Direct
0.346 0.346 0.308
0.654 0.654 0.692
0.000 0.000 0.000
0.161 0.161 0.678
0.839 0.839 0.322
0.000 0.500 0.000
0.500 0.000 0.000
```

## Properties
Formation enthalpy at 0 K (eV/atom): -0.27
Calculated density (g/cm³): 5.19



Here is crystalline YTeP2 at its relaxed geometry from Alexandria. Energies are from PBE-GGA.

The structure in POSCAR format:
```
YTeP2
1.0
5.924 -0.043 0.000
3.174 5.002 0.000
-4.549 -2.480 2.873
P Te Y
2 1 1
Direct
0.000 0.000 0.000
0.250 0.750 0.500
0.500 0.500 0.000
0.750 0.250 0.500
```

## Properties
Calculated density (g/cm³): 5.41
Formation energy without anion corrections (meV/atom): -371



Here is crystalline BaNaW2 at its relaxed geometry from Alexandria. Energies are from PBE-GGA.

The structure in POSCAR format:
```
BaNaW2
1.0
-8.836 -0.481 0.238
0.028 -4.336 -7.717
-4.247 -4.661 -2.474
Na Ba W
2 2 4
Direct
0.500 0.500 0.000
0.250 0.750 0.500
0.000 0.000 0.000
0.750 0.250 0.500
0.590 0.125 0.250
0.160 0.625 0.250
0.375 0.410 0.750
0.875 0.840 0.750
```

## Properties
Formation enthalpy at 0 K (eV/atom): 2.06
ΔE to the lowest computed polymorph (eV per atom): 0.000
Calculated density (g/cm³): 8.65



no.,magnetic moment (Bohr magnetons per cell)
1,0.368
2,0.000
3,0.000
4,0.004
5,0.000
6,0.000
7,2.290
8,0.000
9,3.900
10,2.101
11,0.000
12,0.000
13,0.000
14,0.000
15,0.000
16,0.000
17,0.000
18,0.000
19,0.000
20,2.378